Entry 1:
Material: Y8CSe4S3
Method: DFT, GGA-PBE
State: optimized geometry

a b c (Å): 8.032 8.032 8.032
angles (deg): 58.79 58.79 58.79
Fractional coordinates of all 16 atoms:
Y1 0.242 0.242 0.242
Y2 0.264 0.725 0.725
Y3 0.275 0.275 0.736
Y4 0.275 0.736 0.275
Y5 0.725 0.264 0.725
Y6 0.725 0.725 0.264
Y7 0.736 0.275 0.275
Y8 0.758 0.758 0.758
C1 0.500 0.500 0.500
Se1 0.000 0.000 0.000
Se2 0.000 0.500 0.500
Se3 0.500 0.000 0.500
Se4 0.500 0.500 0.000
S1 0.000 0.000 0.500
S2 0.000 0.500 0.000
S3 0.500 0.000 0.000

Summary:
Density ... 5.291 Mg/m³
Total moment ... 0.00 Bohr magnetons per cell
Uncorrected formation energy ... -1.745 eV/atom

Entry 2:
Material: Y8C3Se4S
Method: DFT, GGA-PBE
State: optimized geometry

a b c (Å): 7.929 7.929 7.929
angles (deg): 57.85 57.85 57.85
Fractional coordinates of all 16 atoms:
Y1 0.217 0.747 0.747
Y2 0.235 0.235 0.235
Y3 0.253 0.253 0.783
Y4 0.253 0.783 0.253
Y5 0.747 0.217 0.747
Y6 0.747 0.747 0.217
Y7 0.765 0.765 0.765
Y8 0.783 0.253 0.253
C1 0.000 0.000 0.500
C2 0.000 0.500 0.000
C3 0.500 0.000 0.000
Se1 0.000 0.000 0.000
Se2 0.000 0.500 0.500
Se3 0.500 0.000 0.500
Se4 0.500 0.500 0.000
S1 0.500 0.500 0.500

Summary:
Density ... 5.428 Mg/m³
Total moment ... 0.00 Bohr magnetons per cell
Uncorrected formation energy ... -1.380 eV/atom